Material: MoW3
Method: DFT, PBEsol
State: relaxed

For the formation energy, the calculation gives 0.50 eV per atom. For the energy above the lowest structure with this stoichiometry, the calculation gives 502 meV per atom. For the density of states at the Fermi level, the calculation gives 1.073 states/eV per atom.

It has space group P-6m2 (No. 187), with a = 2.7451 Å, b = 2.7451 Å, c = 9.7648 Å, α = 90.00°, β = 90.00° and γ = 120.00°. Symmetry generates all atoms from Mo at (0.0000, 0.0000, 0.0000), W at (0.0000, 0.0000, 0.5000) and W at (0.6667, 0.3333, 0.2492).

Material: Mo7W
Method: DFT, PBEsol
State: relaxed

For the formation energy, the calculation gives 0.00 eV per atom. For the density of states at the Fermi level, the calculation gives 0.643 states/eV per atom.

It has space group R-3m (No. 166, hexagonal axes), with a = 8.8494 Å, b = 8.8494 Å, c = 10.8405 Å, α = 90.00°, β = 90.00° and γ = 120.00°. Symmetry generates all atoms from Mo at (0.0000, 0.0000, 0.1248), Mo at (0.9997, 0.4998, 0.1251), Mo at (0.9996, 0.4998, 0.3751) and W at (0.0000, 0.0000, 0.3747).

Material: Mo2W
Method: DFT, PBEsol
State: relaxed

For the formation energy, the calculation gives 0.00 eV per atom. For the energy above the lowest structure with this stoichiometry, the calculation gives 1 meV per atom. For the density of states at the Fermi level, the calculation gives 0.587 states/eV per atom.

It has space group I4/mmm (No. 139), with a = 3.137 Å, b = 3.137 Å, c = 9.391 Å, α = 90.00°, β = 90.00° and γ = 90.00°. Symmetry generates all atoms from Mo at (0.000, 0.000, 0.167) and W at (0.000, 0.000, 0.500).

Material: MoW
Method: DFT, PBEsol
State: relaxed

For the formation energy, the calculation gives 0.00 eV per atom. For the energy above the lowest structure with this stoichiometry, the calculation gives 8 meV per atom. For the density of states at the Fermi level, the calculation gives 0.534 states/eV per atom.

It has space group P-1 (No. 2), with a = 5.210 Å, b = 5.431 Å, c = 9.295 Å, α = 73.06°, β = 87.14° and γ = 79.95°. Symmetry generates all atoms from Mo at (0.125, 0.000, 0.125), Mo at (0.125, 0.250, 0.625), Mo at (0.125, 0.750, 0.624), Mo at (0.375, 0.499, 0.376), W at (0.125, 0.499, 0.126), W at (0.374, 0.750, 0.875), W at (0.375, 0.250, 0.874) and W at (0.375, 0.999, 0.375).